(1)
MnNbVOs | PBE | optimized geometry

Summary:
energy	-10.061	eV/atom
density	11.30	Mg/m³

Structure (POSCAR):
```
MnNbVOs
1.0
0.000 3.058 3.058
3.058 0.000 3.058
3.058 3.058 0.000
Mn Nb V Os
1 1 1 1
Cartesian
0.000 0.000 0.000 Mn
4.586 4.586 4.586 Nb
1.529 1.529 1.529 V
3.058 3.058 3.058 Os
```

---

(2)
MnNbOsW | PBE | optimized geometry

Summary:
energy	-10.845	eV/atom
density	14.16	Mg/m³

Structure (POSCAR):
```
MnNbOsW
1.0
0.000 3.128 3.128
3.128 0.000 3.128
3.128 3.128 0.000
Mn Nb Os W
1 1 1 1
Cartesian
0.000 0.000 0.000 Mn
4.692 4.692 4.692 Nb
1.564 1.564 1.564 Os
3.128 3.128 3.128 W
```

---

(3)
MnNb3P | PBE | optimized geometry

Summary:
offset from the most stable computed form	126	meV per atom
density	6.36	Mg/m³

Structure (POSCAR):
```
MnNb3P
1.0
4.565 0.000 0.000
0.000 4.565 0.000
0.000 0.000 4.565
Mn Nb P
1 3 1
Cartesian
0.000 0.000 0.000 Mn
0.000 0.000 2.283 Nb
0.000 2.283 0.000 Nb
2.283 0.000 0.000 Nb
2.283 2.283 2.283 P
```

---

density of number 2 (MnNbOsW)? 14.16 Mg/m³